Record 1
## ZnPt5Rh (PBE)

Data for a geometry-optimized ZnPt5Rh structure.

Cell: 3.8655 3.8655 7.6555 Å, 90.00 90.00 90.00°
Positions (direct):
Rh  0.0000  0.0000  0.5000
Pt  0.0000  0.5000  0.7333
Pt  0.0000  0.5000  0.2667
Pt  0.5000  0.0000  0.7333
Pt  0.5000  0.0000  0.2667
Pt  0.5000  0.5000  0.0000
Zn  0.0000  0.0000  0.0000

Results
Calculated formation energy (eV per atom): -0.022
Space group: P4/mmm

=====

Record 2
## ZnP3Br (PBE)

Data for a geometry-optimized ZnP3Br structure.

Cell: 4.7072 4.7072 4.7072 Å, 90.00 90.00 90.00°
Positions (direct):
P  0.0000  0.0000  0.5000
P  0.5000  0.0000  0.0000
P  0.0000  0.5000  0.0000
Zn  0.0000  0.0000  0.0000
Br  0.5000  0.5000  0.5000

Results
Raw formation energy (eV per atom): 1.083
Space group: Pm-3m
E above lowest polymorph (eV/atom): 0.000

=====

Record 3
## BaTlAs2 (PBE)

Data for a geometry-optimized BaTlAs2 structure.

Cell: 4.1896 4.6545 6.9022 Å, 90.00 90.00 90.00°
Positions (direct):
As  0.0000  0.0000  0.0725
As  0.0000  0.0000  0.4275
Tl  0.5000  0.5000  0.7500
Ba  0.5000  0.5000  0.2500

Results
Calculated formation energy (eV per atom): -0.399
Space group: Pmmm
E above lowest polymorph (eV/atom): 0.105

=====

Record 4
## PaZn (PBE)

Data for a geometry-optimized PaZn structure.

Cell: 5.3412 5.3412 10.0497 Å, 90.00 90.00 120.00°
Positions (direct):
Pa  0.6667  0.3333  0.5383
Pa  0.0000  0.0000  0.0000
Pa  0.3333  0.6667  0.0383
Pa  0.0000  0.0000  0.5000
Pa  0.6667  0.3333  0.9617
Pa  0.3333  0.6667  0.4617
Zn  0.3460  0.1730  0.2500
Zn  0.1730  0.3460  0.7500
Zn  0.6540  0.8270  0.7500
Zn  0.8270  0.1730  0.2500
Zn  0.1730  0.8270  0.7500
Zn  0.8270  0.6540  0.2500

Results
Calculated formation energy (eV per atom): -0.064
Space group: P6_3/mmc

=====

Record 5
## HfTl2Os (PBE)

Data for a geometry-optimized HfTl2Os structure.

Cell: 4.8157 4.8157 4.8157 Å, 60.00 60.00 60.00°
Positions (direct):
Tl  0.7500  0.7500  0.7500
Tl  0.2500  0.2500  0.2500
Os  0.5000  0.5000  0.5000
Hf  0.0000  0.0000  0.0000

Results
Calculated formation energy (eV per atom): 0.577
Space group: Fm-3m
E above lowest polymorph (eV/atom): 0.000

=====

Record 6
## Y2TcAg (PBE)

Data for a geometry-optimized Y2TcAg structure.

Cell: 5.7158 5.7158 5.7158 Å, 136.28 136.28 63.55°
Positions (direct):
Y  0.0000  0.0000  0.0000
Y  0.2500  0.7500  0.5000
Tc  0.7500  0.2500  0.5000
Ag  0.5000  0.5000  0.0000

Results
Calculated formation energy (eV per atom): 0.119
Space group: I-4m2

=====

Record 7
## La4AlTe2Br (PBE)

Data for a geometry-optimized La4AlTe2Br structure.

Cell: 4.4703 7.9235 7.7957 Å, 71.19 90.00 90.00°
Positions (direct):
Al  0.5000  0.5000  0.0000
Te  0.5000  0.0000  0.5000
Te  0.0000  0.0000  0.0000
La  0.0000  0.2615  0.2407
La  0.5000  0.7415  0.2426
La  0.0000  0.7385  0.7593
La  0.5000  0.2585  0.7574
Br  0.0000  0.5000  0.5000

Results
Raw formation energy (eV per atom): -1.195
Space group: P2/m

=====

Record 8
## Ta2AuCl (PBE)

Data for a geometry-optimized Ta2AuCl structure.

Cell: 5.6751 5.6751 5.6751 Å, 149.56 129.85 59.81°
Positions (direct):
Au  0.4945  0.4945  0.0000
Cl  0.2248  0.7248  0.5000
Ta  0.7592  0.2592  0.5000
Ta  0.0214  0.0214  0.0000

Results
Raw formation energy (eV per atom): 0.257
Space group: Imm2
E above lowest polymorph (eV/atom): 0.405